A plane-wave DFT calculation with PBE was carried out for a geometry-optimized PrNdEr6 structure. Values from VASP.

Results
D(E_F) ... 1.48 states/eV per atom
Relative energy among the computed polymorphs ... 0.119 eV per atom
Formation energy from the elements ... 0.37 eV/atom

Geometry as Quantum ESPRESSO input:
```
&SYSTEM
  ibrav = 0, nat = 8, ntyp = 3
/
ATOMIC_SPECIES
Pr 140.91 Pr.upf
Nd 144.24 Nd.upf
Er 167.26 Er.upf
CELL_PARAMETERS angstrom
5.107 -3.347 0.000
5.107 3.347 0.000
-2.200 0.000 8.226
ATOMIC_POSITIONS angstrom
Pr 0.000 0.000 0.000
Nd -1.100 0.000 4.113
Er 2.637 1.612 1.657
Er 2.569 0.000 4.751
Er 5.377 1.612 6.569
Er 2.637 -1.612 1.657
Er 5.445 0.000 3.475
Er 5.377 -1.612 6.569
```